## Ta2FeRu (PBEsol)

Data for a relaxed Ta2FeRu crystal.

Cell: 4.3730 4.3730 4.3730 Å, 60.00 60.00 60.00°
Each line ends with the local moment (μB).
Positions (direct):
Ru 0.5000 0.5000 0.5000  0.16
Fe 0.0000 0.0000 0.0000  1.50
Ta 0.2500 0.2500 0.2500  -0.05
Ta 0.7500 0.7500 0.7500  -0.05

Computed properties:
Formation enthalpy at 0 K ... -212 meV per atom

## Tc3IrW (PBEsol)

Data for a relaxed Tc3IrW crystal.

Cell: 4.5482 4.5482 4.5482 Å, 90.00 90.00 90.00°
Positions (direct):
Ir 0.0000 0.0000 0.0000
Tc 0.0000 0.5000 0.0000
Tc 0.0000 0.0000 0.5000
Tc 0.5000 0.0000 0.0000
W 0.5000 0.5000 0.5000

Computed properties:
Formation enthalpy at 0 K ... 2236 meV per atom

## CaYRh2 (PBEsol)

Data for a relaxed CaYRh2 crystal.

Cell: 3.3603 3.3603 6.7839 Å, 90.00 90.00 90.00°
Positions (direct):
Y 0.5000 0.5000 0.0000
Ca 0.5000 0.5000 0.5000
Rh 0.0000 0.0000 0.7649
Rh 0.0000 0.0000 0.2351

Computed properties:
Formation enthalpy at 0 K ... -551 meV per atom
Distance to the lowest polymorph of the same formula ... 0 meV per atom

## TcHg2Ru (PBEsol)

Data for a relaxed TcHg2Ru crystal.

Cell: 2.8143 4.9895 5.5476 Å, 116.05 103.58 92.40°
Each line ends with the local moment (μB).
Positions (direct):
Hg 0.0000 0.0000 0.5000  0.00
Hg 0.5000 0.5000 0.5000  0.00
Ru 0.5000 0.0000 0.0000  0.53
Tc 0.0000 0.5000 0.0000  0.20

Computed properties:
Formation enthalpy at 0 K ... 727 meV per atom
Distance to the lowest polymorph of the same formula ... 0 meV per atom

## LiSi2Rh (PBEsol)

Data for a relaxed LiSi2Rh crystal.

Cell: 3.1013 3.1013 5.2812 Å, 90.00 90.00 90.00°
Positions (direct):
Li 0.5000 0.5000 0.0000
Rh 0.5000 0.5000 0.5000
Si 0.0000 0.0000 0.7533
Si 0.0000 0.0000 0.2467

Computed properties:
Distance to the lowest polymorph of the same formula ... 148 meV per atom
Formation energy from raw total energies ... -348 meV/atom

## Rb5Nb3OF18 (PBEsol)

Data for a relaxed Rb5Nb3OF18 crystal.

Cell: 7.8583 11.5747 11.5747 Å, 83.38 70.16 70.16°
Positions (direct):
Rb 0.7598 0.5000 0.5000
Rb 0.2598 0.5000 0.5000
Rb 0.2629 0.6957 0.8611
Rb 0.1240 0.1389 0.6957
Rb 0.9587 0.8611 0.3043
Rb 0.8197 0.3043 0.1389
Rb 0.4587 0.3043 0.8611
Rb 0.6240 0.6957 0.1389
Rb 0.7629 0.8611 0.6957
Rb 0.3197 0.1389 0.3043
Nb 0.3416 0.8118 0.5000
Nb 0.8416 0.5000 0.8118
Nb 0.1534 0.5000 0.1882
Nb 0.6534 0.1882 0.5000
Nb 0.2681 0.0000 0.0000
Nb 0.7681 0.0000 0.0000
O 0.9987 0.0000 0.0000
O 0.4987 0.0000 0.0000
F 0.1166 0.7712 0.5000
F 0.6166 0.5000 0.7712
F 0.8878 0.5000 0.2288
F 0.3878 0.2288 0.5000
F 0.0406 0.6121 0.3335
F 0.3741 0.6665 0.6121
F 0.6527 0.3335 0.3879
F 0.9862 0.3879 0.6665
F 0.1527 0.3879 0.3335
F 0.8741 0.6121 0.6665
F 0.5406 0.3335 0.6121
F 0.4862 0.6665 0.3879
F 0.8885 0.2119 0.5000
F 0.3885 0.5000 0.2119
F 0.1004 0.5000 0.7881
F 0.6004 0.7881 0.5000
F 0.1218 0.0719 0.1630
F 0.2848 0.8370 0.0719
F 0.1936 0.1630 0.9281
F 0.3566 0.9281 0.8370
F 0.6936 0.9281 0.1630
F 0.7848 0.0719 0.8370
F 0.6218 0.1630 0.0719
F 0.8566 0.8370 0.9281
F 0.6592 0.6621 0.8778
F 0.5370 0.1222 0.6621
F 0.3213 0.8778 0.3379
F 0.1991 0.3379 0.1222
F 0.8213 0.3379 0.8778
F 0.0370 0.6621 0.1222
F 0.1592 0.8778 0.6621
F 0.6991 0.1222 0.3379
F 0.8229 0.0172 0.5000
F 0.3229 0.5000 0.0172
F 0.8401 0.5000 0.9828
F 0.3401 0.9828 0.5000

Computed properties:
Formation energy from raw total energies ... -3062 meV/atom

## GeBTeAu2 (PBEsol)

Data for a relaxed GeBTeAu2 crystal.

Cell: 5.1011 5.1011 5.5364 Å, 90.00 90.00 90.00°
Positions (direct):
Ge 0.0000 0.0000 0.5000
Te 0.0000 0.0000 0.0000
Au 0.0000 0.5000 0.0000
Au 0.5000 0.0000 0.0000
B 0.5000 0.5000 0.5000

Computed properties:
Formation energy from raw total energies ... 1737 meV/atom

## SrCa2 (PBEsol)

Data for a relaxed SrCa2 crystal.

Cell: 7.3123 7.3123 7.3123 Å, 60.00 60.00 60.00°
Positions (direct):
Sr 0.5000 0.5000 0.5000
Sr 0.7500 0.7500 0.7500
Ca 0.1250 0.1250 0.1250
Ca 0.1250 0.1250 0.6250
Ca 0.1250 0.6250 0.1250
Ca 0.6250 0.1250 0.1250

Computed properties:
Formation enthalpy at 0 K ... 34 meV per atom
Distance to the lowest polymorph of the same formula ... 23 meV per atom

## Zr2Be2Sn (PBEsol)

Data for a relaxed Zr2Be2Sn crystal.

Cell: 3.8798 6.4580 6.4580 Å, 90.00 90.00 90.00°
Positions (direct):
Be 0.0000 0.3851 0.8851
Be 0.0000 0.8851 0.6149
Be 0.0000 0.6149 0.1149
Be 0.0000 0.1149 0.3851
Sn 0.0000 0.0000 0.0000
Sn 0.0000 0.5000 0.5000
Zr 0.5000 0.1710 0.6710
Zr 0.5000 0.6710 0.8290
Zr 0.5000 0.8290 0.3290
Zr 0.5000 0.3290 0.1710

Computed properties:
Formation enthalpy at 0 K ... -397 meV per atom

## LiRu3 (PBEsol)

Data for a relaxed LiRu3 crystal.

Cell: 2.6016 2.6016 9.0113 Å, 90.00 90.00 117.06°
Positions (direct):
Li 0.0000 0.0000 0.0000
Ru 0.5000 0.5000 0.7471
Ru 0.0000 0.0000 0.5000
Ru 0.5000 0.5000 0.2529

Computed properties:
Formation enthalpy at 0 K ... 421 meV per atom

## ZrTa2Cl (PBEsol)

Data for a relaxed ZrTa2Cl crystal.

Cell: 3.4710 3.4710 6.2663 Å, 90.00 90.00 90.00°
Positions (direct):
Cl 0.5000 0.5000 0.5000
Zr 0.5000 0.5000 0.0000
Ta 0.0000 0.0000 0.7763
Ta 0.0000 0.0000 0.2237

Computed properties:
Distance to the lowest polymorph of the same formula ... 550 meV per atom
Formation energy from raw total energies ... 422 meV/atom

## ZrTe2Ir (PBEsol)

Data for a relaxed ZrTe2Ir crystal.

Cell: 3.6722 3.6722 6.9498 Å, 90.00 90.00 90.00°
Positions (direct):
Ir 0.5000 0.5000 0.7180
Te 0.0000 0.0000 0.9203
Te 0.5000 0.5000 0.3321
Zr 0.0000 0.0000 0.5296

Computed properties:
Distance to the lowest polymorph of the same formula ... 85 meV per atom
Formation energy from raw total energies ... -390 meV/atom

## NiAsW2 (PBEsol)

Data for a relaxed NiAsW2 crystal.

Cell: 2.9431 2.9431 6.4373 Å, 90.00 90.00 90.00°
Positions (direct):
As 0.5000 0.5000 0.0000
Ni 0.5000 0.5000 0.5000
W 0.0000 0.0000 0.7517
W 0.0000 0.0000 0.2483

Computed properties:
Formation enthalpy at 0 K ... 252 meV per atom

## Mg4AlB10 (PBEsol)

Data for a relaxed Mg4AlB10 crystal.

Cell: 3.0511 3.0511 17.1956 Å, 90.00 90.00 120.00°
Positions (direct):
Mg 0.0000 0.0000 0.1965
Mg 0.0000 0.0000 0.3986
Mg 0.0000 0.0000 0.6014
Mg 0.0000 0.0000 0.8035
B 0.6667 0.3333 0.0911
B 0.6667 0.3333 0.2964
B 0.6667 0.3333 0.5000
B 0.6667 0.3333 0.7036
B 0.6667 0.3333 0.9089
B 0.3333 0.6667 0.0911
B 0.3333 0.6667 0.2964
B 0.3333 0.6667 0.5000
B 0.3333 0.6667 0.7036
B 0.3333 0.6667 0.9089
Al 0.0000 0.0000 0.0000

Computed properties:
Formation enthalpy at 0 K ... -161 meV per atom

## NaCoPCO7 (PBEsol)

Data for a relaxed NaCoPCO7 crystal.

Cell: 5.0046 5.9990 9.2185 Å, 90.00 90.29 90.00°
Each line ends with the local moment (μB).
Positions (direct):
Na 0.7866 0.4394 0.2269  0.00
Na 0.2134 0.9394 0.7731  0.00
Co 0.2259 0.7550 0.3438  0.74
Co 0.7741 0.2550 0.6562  0.74
P 0.2870 0.2506 0.4375  -0.01
P 0.7130 0.7506 0.5625  -0.01
C 0.3250 0.7577 0.0986  0.00
C 0.6750 0.2577 0.9014  0.00
O 0.6201 0.2679 0.0306  0.00
O 0.0830 0.7520 0.1553  -0.01
O 0.5004 0.7519 0.2075  -0.01
O 0.2228 0.0555 0.3322  0.09
O 0.2213 0.4472 0.3334  0.04
O 0.8804 0.7425 0.4252  0.05
O 0.5893 0.2583 0.4752  0.06
O 0.4107 0.7583 0.5248  0.06
O 0.1196 0.2425 0.5748  0.05
O 0.7787 0.9472 0.6666  0.04
O 0.7772 0.5555 0.6678  0.09
O 0.4996 0.2519 0.7925  -0.01
O 0.9170 0.2520 0.8447  -0.01
O 0.3799 0.7679 0.9694  0.00

Computed properties:
Formation energy from raw total energies ... -1567 meV/atom

## KNaNb2Ru (PBEsol)

Data for a relaxed KNaNb2Ru crystal.

Cell: 4.4417 4.8784 4.8784 Å, 90.00 90.00 90.00°
Positions (direct):
Ru 0.5000 0.5000 0.5000
Nb 0.0000 0.0000 0.5000
Nb 0.0000 0.5000 0.0000
K 0.5000 0.0000 0.0000
Na 0.0000 0.0000 0.0000

Computed properties:
Formation enthalpy at 0 K ... 2657 meV per atom

## NaV10O15 (PBEsol)

Data for a relaxed NaV10O15 crystal.

Cell: 7.3900 7.3900 9.4248 Å, 90.00 90.00 100.38°
Each line ends with the local moment (μB).
Positions (direct):
Na 0.0000 0.0000 0.0000  0.00
Na 0.5000 0.5000 0.5000  0.00
V 0.1778 0.1778 0.3534  1.44
V 0.3222 0.3222 0.8534  1.44
V 0.5790 0.0655 0.8915  -0.23
V 0.5655 0.0790 0.6085  -0.23
V 0.0790 0.5655 0.6085  -0.23
V 0.0655 0.5790 0.8915  -0.23
V 0.5297 0.2618 0.1252  0.72
V 0.7618 0.0297 0.3748  0.72
V 0.0297 0.7618 0.3748  0.72
V 0.2618 0.5297 0.1252  0.72
V 0.4703 0.7382 0.8748  0.72
V 0.9703 0.2382 0.6252  0.72
V 0.2382 0.9703 0.6252  0.72
V 0.7382 0.4703 0.8748  0.72
V 0.9345 0.4210 0.1085  -0.23
V 0.4210 0.9345 0.1085  -0.23
V 0.4345 0.9210 0.3915  -0.23
V 0.9210 0.4345 0.3915  -0.23
V 0.6778 0.6778 0.1466  1.44
V 0.8222 0.8222 0.6466  1.44
O 0.1666 0.1666 0.7303  -0.04
O 0.3550 0.1234 0.9852  -0.01
O 0.1234 0.3550 0.9852  -0.01
O 0.3766 0.1450 0.4852  -0.01
O 0.1450 0.3766 0.4852  -0.01
O 0.0816 0.5816 0.2500  -0.02
O 0.5816 0.0816 0.2500  -0.02
O 0.3334 0.3334 0.2303  -0.04
O 0.7815 0.0472 0.7400  -0.01
O 0.5472 0.2815 0.7600  -0.01
O 0.2815 0.5472 0.7600  -0.01
O 0.0472 0.7815 0.7400  -0.01
O 0.7437 0.2563 0.0000  0.00
O 0.2563 0.7437 0.0000  0.00
O 0.0000 0.0000 0.5000  0.03
O 0.5000 0.5000 0.0000  0.03
O 0.2437 0.7563 0.5000  0.00
O 0.7563 0.2437 0.5000  0.00
O 0.2185 0.9528 0.2600  -0.01
O 0.4528 0.7185 0.2400  -0.01
O 0.7185 0.4528 0.2400  -0.01
O 0.9528 0.2185 0.2600  -0.01
O 0.6666 0.6666 0.7697  -0.04
O 0.9184 0.4184 0.7500  -0.02
O 0.4184 0.9184 0.7500  -0.02
O 0.6234 0.8550 0.5148  -0.01
O 0.8550 0.6234 0.5148  -0.01
O 0.6450 0.8766 0.0148  -0.01
O 0.8766 0.6450 0.0148  -0.01
O 0.8334 0.8334 0.2697  -0.04

Computed properties:
Formation energy from raw total energies ... -2272 meV/atom

## TaBeOs2 (PBEsol)

Data for a relaxed TaBeOs2 crystal.

Cell: 2.8156 2.8156 8.0855 Å, 79.97 79.97 60.00°
Positions (direct):
Be 0.0000 0.0000 0.0000
Os 0.2602 0.2602 0.2193
Os 0.7398 0.7398 0.7807
Ta 0.5000 0.5000 0.5000

Computed properties:
Formation enthalpy at 0 K ... 96 meV per atom

## SnSb2TeBr (PBEsol)

Data for a relaxed SnSb2TeBr crystal.

Cell: 5.5471 5.6299 5.6299 Å, 90.00 90.00 90.00°
Positions (direct):
Sb 0.0000 0.0000 0.5000
Sb 0.0000 0.5000 0.0000
Te 0.5000 0.0000 0.0000
Sn 0.0000 0.0000 0.0000
Br 0.5000 0.5000 0.5000

Computed properties:
Formation energy from raw total energies ... 653 meV/atom

## TlP3W (PBEsol)

Data for a relaxed TlP3W crystal.

Cell: 4.8572 4.8572 4.8572 Å, 90.00 90.00 90.00°
Each line ends with the local moment (μB).
Positions (direct):
P 0.0000 0.5000 0.0000  -0.16
P 0.0000 0.0000 0.5000  -0.16
P 0.5000 0.0000 0.0000  -0.16
Tl 0.0000 0.0000 0.0000  0.00
W 0.5000 0.5000 0.5000  2.55

Computed properties:
Formation enthalpy at 0 K ... 2313 meV per atom

## TaMnSeN2 (PBEsol)

Data for a relaxed TaMnSeN2 crystal.

Cell: 3.9514 3.9514 5.3134 Å, 90.00 90.00 90.00°
Each line ends with the local moment (μB).
Positions (direct):
N 0.0000 0.5000 0.0000  0.07
N 0.5000 0.0000 0.0000  0.07
Mn 0.5000 0.5000 0.5000  4.43
Se 0.0000 0.0000 0.5000  0.04
Ta 0.0000 0.0000 0.0000  0.02

Computed properties:
Formation energy from raw total energies ... 170 meV/atom

## BeCu2W (PBEsol)

Data for a relaxed BeCu2W crystal.

Cell: 2.6150 2.6150 8.3540 Å, 81.00 81.00 60.00°
Positions (direct):
Be 0.0000 0.0000 0.0000
Cu 0.2593 0.2593 0.2221
Cu 0.7407 0.7407 0.7779
W 0.5000 0.5000 0.5000

Computed properties:
Formation enthalpy at 0 K ... 278 meV per atom

Uncorrected energy / eV/atom: -11.2713; -9.2505; -6.8595; -4.9160; -5.7478; -5.9336; -2.9291; -2.0011; -6.4852; -7.6998; -8.6275; -6.8812; -9.4678; -5.5692; -7.1410; -4.2125; -9.0603; -10.1500; -3.1011; -4.4496; -8.4732; -6.3410